{
  "formula": "Ba2CrFeBi",
  "functional": "PBE",
  "state": "optimized geometry",
  "cell": [[6.0108, 0.0000, 0.0000], [0.0000, 6.0108, 0.0000], [0.0000, 0.0000, 4.6660]],
  "species": ["Ba", "Ba", "Cr", "Fe", "Bi"],
  "fractional_positions": [[0.0000, 0.5000, 0.0000], [0.5000, 0.0000, 0.0000], [0.0000, 0.0000, 0.5000], [0.0000, 0.0000, 0.0000], [0.5000, 0.5000, 0.5000]],
  "e_tot_ev_per_atom": -4.8279,
  "space_group": "P4/mmm (123)",
  "magnetic_moment_mub_per_atom": 0.502,
  "delta_e_f_mev_per_atom": 335
}